{"formula": "MoAsO4", "functional": "GGA+U", "state": "optimized geometry", "vol_a3_per_atom": 16.93, "sg": "P1, No. 1", "e_tot_ev_per_atom": -6.640, "cell": [[-5.8696, -1.1697, -1.7900], [2.4369, -3.3799, 3.4262], [1.7405, 4.5719, 2.0759]], "species": ["As", "O", "O", "Mo", "O", "O"], "fractional_positions": [[0.6010, 0.6537, 0.0551], [0.3837, 0.8102, 0.0662], [0.7109, 0.2214, 0.8224], [0.8114, 0.3128, 0.5883], [0.0883, 0.2285, 0.6066], [0.6546, 0.5234, 0.3614]]}